[1]
Density functional theory data (PBE-GGA) for crystalline ZrAlSb2 at its relaxed geometry.

abc: 6.5841 6.5841 7.6863
angles: 64.64 64.64 90.00
With the nearest neighbours (Å) after each atom.
Atoms (fractional coordinates):
Zr1 0.7500 0.2500 0.5000  4 Sb 2.86
Zr2 0.0000 0.0000 0.0000  4 Sb 2.86
Sb1 0.1430 0.6250 0.2500  2 Al 2.72, 2 Zr 2.86
Sb2 0.3750 0.3930 0.7500  2 Al 2.72, 2 Zr 2.86
Sb3 0.8750 0.8570 0.7500  2 Al 2.72, 2 Zr 2.86
Sb4 0.6070 0.1250 0.2500  2 Al 2.72, 2 Zr 2.86
Al1 0.2500 0.7500 0.5000  4 Sb 2.72
Al2 0.5000 0.5000 0.0000  4 Sb 2.72

***

[2]
Density functional theory data (PBE-GGA) for crystalline Zr3AlSb at its relaxed geometry.

energy above the lowest structure with this stoichiometry = 0 meV/atom

abc: 4.9891 4.9891 4.9891
angles: 90.00 90.00 90.00
With the nearest neighbours (Å) after each atom.
Atoms (fractional coordinates):
Zr1 0.0000 0.5000 0.0000  2 Al 2.49
Zr2 0.0000 0.0000 0.5000  2 Al 2.49
Zr3 0.5000 0.0000 0.0000  2 Al 2.49
Al1 0.0000 0.0000 0.0000  6 Zr 2.49
Sb1 0.5000 0.5000 0.5000  12 Zr 3.53

***

[3]
Density functional theory data (PBE-GGA) for crystalline Zr2AlSb at its relaxed geometry.

energy above the lowest structure with this stoichiometry = 302 meV/atom

abc: 4.9411 4.9411 4.9411
angles: 60.00 60.00 60.00
With the nearest neighbours (Å) after each atom.
Atoms (fractional coordinates):
Al1 0.0000 0.0000 0.0000  8 Zr 3.03
Sb1 0.5000 0.5000 0.5000  8 Zr 3.03
Zr1 0.2500 0.2500 0.2500  4 Sb 3.03, 4 Al 3.03
Zr2 0.7500 0.7500 0.7500  4 Sb 3.03, 4 Al 3.03

***

[4]
Density functional theory data (PBE-GGA) for crystalline Zr2Al2Sb at its relaxed geometry.

energy above the lowest structure with this stoichiometry = 511 meV/atom

abc: 6.7687 6.7687 6.7687
angles: 142.08 142.08 54.71
With the nearest neighbours (Å) after each atom.
Atoms (fractional coordinates):
Zr1 0.7500 0.2500 0.5000  4 Al 2.83, 4 Zr 3.11
Zr2 0.2500 0.7500 0.5000  4 Al 2.83, 4 Zr 3.11
Sb1 0.0000 0.0000 0.0000  8 Al 3.34, 8 Zr 3.72
Al1 0.3979 0.3979 0.0000  1 Al 2.45
Al2 0.6021 0.6021 0.0000  1 Al 2.45

***

One value per record, in order, for VASP energy: -40.6; -31.9; -26.0; -27.7 eV/cell.